Nd5Cd2Ru after structural relaxation. Source: the Alexandria database, functional PBE.

The structure in extended XYZ format:
```
8
Lattice="3.979 -5.498 0.000 3.979 5.498 0.000 -3.975 0.000 5.497" Properties=species:S:1:pos:R:3 pbc="T T T"
Nd 0.000 0.000 0.000
Nd 5.992 0.000 2.717
Nd 2.008 2.783 0.010
Nd 2.008 -2.783 0.010
Nd 2.007 0.000 2.790
Cd 0.063 2.751 2.759
Cd 0.063 -2.751 2.759
Ru 5.197 0.000 0.007
```

## Properties
energy of formation	-78	kJ/mol of formula units
density	7.23	Mg/m³
space group	Cm, No. 8
total magnetic moment	0.00	μB per cell